{"formula": "YZrC", "functional": "PBE", "state": "relaxed", "ef_ev_per_atom": -0.414, "volume_a3_per_cell": 239.7, "mass_density_g_cm3": 5.3, "relative_energy_ev_per_atom": 0.000, "cell": [[11.645, 0.000, 0.000], [0.000, 3.482, 0.000], [-1.108, 0.000, 5.912]], "species": ["Y", "Y", "Y", "Y", "Zr", "Zr", "Zr", "Zr", "C", "C", "C", "C"], "frac_coords": [[0.129, 0.000, 0.371], [0.371, 0.500, 0.629], [0.629, 0.500, 0.371], [0.871, 0.000, 0.629], [0.141, 0.500, 0.882], [0.359, 0.000, 0.118], [0.641, 0.000, 0.882], [0.859, 0.500, 0.118], [0.244, 0.000, 0.769], [0.256, 0.500, 0.231], [0.744, 0.500, 0.769], [0.756, 0.000, 0.231]]}

=====

{"formula": "Y3ZrC", "functional": "PBE", "state": "relaxed", "ef_ev_per_atom": 0.074, "volume_a3_per_cell": 124.8, "mass_density_g_cm3": 4.9, "relative_energy_ev_per_atom": 0.000, "cell": [[4.997, 0.000, 0.000], [0.000, 4.997, 0.000], [0.000, 0.000, 4.997]], "species": ["Y", "Y", "Y", "Zr", "C"], "frac_coords": [[0.000, 0.000, 0.500], [0.000, 0.500, 0.000], [0.500, 0.000, 0.000], [0.500, 0.500, 0.500], [0.000, 0.000, 0.000]]}

=====

- Number 2 is which compound?
  Y3ZrC